Record 1
16
Lattice="6.8768 0.0000 0.0000 0.0000 6.8768 0.0000 0.0000 0.0000 5.7440" Properties=species:S:1:pos:R:3 comment="TlNi2Ge, relaxed, DFT PBE" e_form_ev_per_atom=0.289 polymorph_energy_ev_per_atom=0.076 dft_energy_ev_per_fu=-17.4 dos_ef_per_ev_cell=9.69 rho_g_cm3=9.64 vol_a3_per_cell=272 pbc="T T T"
Tl 0.0000 0.0000 0.0000
Tl 0.0000 3.4384 1.4360
Tl 3.4384 0.0000 4.3080
Tl 3.4384 3.4384 2.8720
Ni 1.3794 1.7192 3.5900
Ni 1.7192 4.8178 5.0260
Ni 1.7192 5.4974 2.1540
Ni 2.0590 1.7192 0.7180
Ni 4.8178 5.1576 0.7180
Ni 5.1576 1.3794 2.1540
Ni 5.1576 2.0590 5.0260
Ni 5.4974 5.1576 3.5900
Ge 0.0000 0.0000 2.8720
Ge 0.0000 3.4384 4.3080
Ge 3.4384 0.0000 1.4360
Ge 3.4384 3.4384 0.0000

=====

Record 2
10
Lattice="3.8486 0.0000 0.0000 0.0000 3.8486 0.0000 0.0000 0.0000 11.4446" Properties=species:S:1:pos:R:3 comment="TlNi2Ge2, relaxed, DFT PBE" e_form_ev_per_atom=0.056 polymorph_energy_ev_per_atom=0.069 dft_energy_ev_per_fu=-22.9 dos_ef_per_ev_cell=6.12 rho_g_cm3=9.15 vol_a3_per_cell=170 pbc="T T T"
Tl 0.0000 0.0000 0.0000
Tl 1.9243 1.9243 5.7223
Ni 0.0000 0.0000 4.3541
Ni 0.0000 0.0000 7.0905
Ni 1.9243 1.9243 1.3682
Ni 1.9243 1.9243 10.0765
Ge 0.0000 1.9243 2.8612
Ge 0.0000 1.9243 8.5835
Ge 1.9243 0.0000 2.8612
Ge 1.9243 0.0000 8.5835

=====

Record 3
10
Lattice="7.4125 0.0000 0.0000 0.0000 7.4125 0.0000 0.0000 0.0000 2.9837" Properties=species:S:1:pos:R:3 comment="TlNi2Ge2, relaxed, DFT PBE" e_form_ev_per_atom=0.093 polymorph_energy_ev_per_atom=0.107 dft_energy_ev_per_fu=-22.7 dos_ef_per_ev_cell=5.72 rho_g_cm3=9.46 vol_a3_per_cell=164 pbc="T T T"
Tl 0.0000 0.0000 0.0000
Tl 3.7063 3.7063 0.0000
Ni 0.9581 2.7482 0.0000
Ni 2.7482 6.4544 0.0000
Ni 4.6644 0.9581 0.0000
Ni 6.4544 4.6644 0.0000
Ge 1.1058 4.8121 1.4918
Ge 2.6004 1.1058 1.4918
Ge 4.8121 6.3067 1.4918
Ge 6.3067 2.6004 1.4918

=====

Record 4
12
Lattice="3.2952 0.0000 0.0000 -1.6476 2.8537 0.0000 0.0000 0.0000 26.2029" Properties=species:S:1:pos:R:3 comment="TlNiGe2, relaxed, DFT PBE" e_form_ev_per_atom=0.096 polymorph_energy_ev_per_atom=0.000 dft_energy_ev_per_fu=-17.0 dos_ef_per_ev_cell=7.18 rho_g_cm3=8.26 vol_a3_per_cell=246 pbc="T T T"
Tl 0.0000 0.0000 0.0000
Tl 0.0000 1.9025 17.4686
Tl 1.6476 0.9512 8.7343
Ni 0.0000 0.0000 13.1014
Ni 0.0000 1.9025 4.3672
Ni 1.6476 0.9512 21.8357
Ge 0.0000 0.0000 2.8750
Ge 0.0000 0.0000 23.3279
Ge 0.0000 1.9025 14.5936
Ge 0.0000 1.9025 20.3436
Ge 1.6476 0.9512 5.8593
Ge 1.6476 0.9512 11.6093

=====

Record 5
10
Lattice="4.2564 0.0000 0.0000 0.0000 4.2564 0.0000 0.0000 0.0000 9.6595" Properties=species:S:1:pos:R:3 comment="TlNi2Ge2, relaxed, DFT PBE" e_form_ev_per_atom=-0.014 polymorph_energy_ev_per_atom=0.000 dft_energy_ev_per_fu=-23.2 dos_ef_per_ev_cell=4.51 rho_g_cm3=8.86 vol_a3_per_cell=175 pbc="T T T"
Tl 0.0000 0.0000 0.0000
Tl 2.1282 2.1282 4.8298
Ni 0.0000 2.1282 2.4149
Ni 0.0000 2.1282 7.2446
Ni 2.1282 0.0000 2.4149
Ni 2.1282 0.0000 7.2446
Ge 0.0000 0.0000 3.5181
Ge 0.0000 0.0000 6.1414
Ge 2.1282 2.1282 1.3117
Ge 2.1282 2.1282 8.3479

=====

Record 6
5
Lattice="4.7253 0.0000 0.0000 0.0000 4.7253 0.0000 0.0000 0.0000 4.7253" Properties=species:S:1:pos:R:3 comment="TlNiGe3, relaxed, DFT PBE" e_form_ev_per_atom=0.199 polymorph_energy_ev_per_atom=0.000 dft_energy_ev_per_fu=-21.0 dos_ef_per_ev_cell=3.65 rho_g_cm3=7.57 vol_a3_per_cell=106 pbc="T T T"
Tl 0.0000 0.0000 0.0000
Ni 2.3627 2.3627 2.3627
Ge 0.0000 2.3627 2.3627
Ge 2.3627 0.0000 2.3627
Ge 2.3627 2.3627 0.0000

=====

Record 7
5
Lattice="5.2877 0.0000 0.0000 0.0000 5.2877 0.0000 0.0000 0.0000 5.2877" Properties=species:S:1:pos:R:3 comment="TlNiGe3, relaxed, DFT PBE" e_form_ev_per_atom=1.504 polymorph_energy_ev_per_atom=1.305 dft_energy_ev_per_fu=-14.5 dos_ef_per_ev_cell=6.87 rho_g_cm3=5.40 vol_a3_per_cell=148 pbc="T T T"
Tl 0.0000 0.0000 0.0000
Ni 2.6438 2.6438 2.6438
Ge 0.0000 0.0000 2.6438
Ge 0.0000 2.6438 0.0000
Ge 2.6438 0.0000 0.0000

=====

Record 8
6
Lattice="4.0672 0.0000 0.0000 0.0000 4.0672 0.0000 0.0000 0.0000 7.9311" Properties=species:S:1:pos:R:3 comment="TlNiGe, relaxed, DFT PBE" e_form_ev_per_atom=-0.033 dft_energy_ev_per_fu=-12.9 dos_ef_per_ev_cell=2.77 rho_g_cm3=8.50 vol_a3_per_cell=131 pbc="T T T"
Tl 1.0168 1.0168 1.2912
Tl 3.0504 3.0504 6.6399
Ni 1.0168 3.0504 3.9656
Ni 3.0504 1.0168 3.9656
Ge 1.0168 1.0168 5.1763
Ge 3.0504 3.0504 2.7548